Record 1
HoTl2GaBr6 PBE optimized geometry; total moment = 0.0 μB per cell; symmetry = R3, No. 146; uncorrected formation energy = -1.210 eV/atom; volume = 377.2 Å³/f.u.; E = -3.45 eV per atom
1.0
4.012 2.316 6.766
-4.012 2.316 6.766
0.000 -4.633 6.766
Ho Tl Ga Br
1 2 1 6
direct
0.000 0.000 0.000 Ho
0.212 0.212 0.212 Tl
0.704 0.704 0.704 Tl
0.493 0.493 0.493 Ga
0.136 0.785 0.335 Br
0.244 0.673 0.859 Br
0.335 0.136 0.785 Br
0.673 0.859 0.244 Br
0.785 0.335 0.136 Br
0.859 0.244 0.673 Br

***

Record 2
Ga2I2Br PBE optimized geometry; total moment = 0.0 μB per cell; symmetry = P-1, No. 2; uncorrected formation energy = -0.440 eV/atom; volume = 251.1 Å³/f.u.; E = -2.60 eV per atom
1.0
7.031 0.000 0.000
-1.926 8.619 0.000
-1.932 -2.597 8.289
Ga I Br
4 4 2
direct
0.058 0.206 0.146 Ga
0.441 0.354 0.294 Ga
0.559 0.646 0.706 Ga
0.942 0.794 0.854 Ga
0.014 0.897 0.188 I
0.485 0.309 0.600 I
0.515 0.691 0.400 I
0.986 0.103 0.812 I
0.250 0.704 0.795 Br
0.750 0.296 0.205 Br

***

Record 3
GaIBr PBE optimized geometry; total moment = 0.0 μB per cell; symmetry = P1, No. 1; uncorrected formation energy = -0.498 eV/atom; volume = 114.9 Å³/f.u.; E = -2.58 eV per atom
1.0
4.222 0.000 0.000
-0.337 7.013 0.000
-1.594 -3.160 7.757
Ga I Br
2 2 2
direct
0.000 0.000 0.000 Ga
0.127 0.627 0.898 Ga
0.620 0.183 0.220 I
0.895 0.209 0.777 I
0.359 0.619 0.659 Br
0.546 0.637 0.131 Br

***

Record 4
Ga2I3Br2 PBE optimized geometry; total moment = 0.0 μB per cell; symmetry = P-1, No. 2; uncorrected formation energy = -0.471 eV/atom; volume = 338.7 Å³/f.u.; E = -2.48 eV per atom
1.0
4.193 0.000 0.000
0.024 7.227 0.000
2.041 3.187 11.177
Ga I Br
2 3 2
direct
0.115 0.188 0.262 Ga
0.885 0.812 0.738 Ga
0.000 0.000 0.500 I
0.332 0.949 0.845 I
0.668 0.051 0.155 I
0.137 0.523 0.211 Br
0.863 0.477 0.789 Br

***

Record 5
GaIBr PBE optimized geometry; total moment = 0.0 μB per cell; symmetry = P-1, No. 2; uncorrected formation energy = -0.605 eV/atom; volume = 139.8 Å³/f.u.; E = -2.69 eV per atom
1.0
5.139 0.000 0.000
1.029 6.827 0.000
1.942 0.777 7.967
Ga I Br
2 2 2
direct
0.203 0.077 0.427 Ga
0.797 0.923 0.573 Ga
0.224 0.338 0.181 I
0.776 0.662 0.819 I
0.407 0.192 0.645 Br
0.593 0.808 0.355 Br

***

Record 6
GaIBr PBE optimized geometry; total moment = 0.0 μB per cell; symmetry = Pm, No. 6; uncorrected formation energy = -0.464 eV/atom; volume = 127.1 Å³/f.u.; E = -2.55 eV per atom
1.0
4.830 0.000 0.000
0.000 4.169 0.000
-0.060 0.000 6.309
Ga I Br
1 1 1
direct
0.000 0.000 0.000 Ga
0.005 0.500 0.294 I
0.498 0.000 0.855 Br

***

Record 7
Ga3I2Br2 PBE optimized geometry; total moment = 0.0 μB per cell; symmetry = C2/m, No. 12; uncorrected formation energy = -0.417 eV/atom; volume = 252.9 Å³/f.u.; E = -2.64 eV per atom
1.0
7.370 -2.023 0.000
7.370 2.023 0.000
-5.172 0.000 8.480
Ga I Br
3 2 2
direct
0.000 0.000 0.000 Ga
0.179 0.179 0.296 Ga
0.821 0.821 0.704 Ga
0.422 0.422 0.127 I
0.578 0.578 0.873 I
0.169 0.169 0.568 Br
0.831 0.831 0.432 Br

***

Record 8
GaIBr PBE optimized geometry; total moment = 0.0 μB per cell; symmetry = Pmm2, No. 25; uncorrected formation energy = -0.463 eV/atom; volume = 125.1 Å³/f.u.; E = -2.55 eV per atom
1.0
4.099 0.000 0.000
0.000 5.186 0.000
0.000 0.000 5.886
Ga I Br
1 1 1
direct
0.000 0.000 0.000 Ga
0.000 0.500 0.838 I
0.500 0.000 0.277 Br